Here is NaCa2InF8 after structural relaxation from Alexandria via LeMat-Bulk. Energies are from PBE.

a b c (Å): 3.906 5.441 7.678
angles (deg): 90.00 90.00 90.22
Fractional coordinates of all 12 atoms:
F (0.498, 0.231, 0.000)
F (0.499, 0.258, 0.500)
Ca (0.500, 0.500, 0.738)
F (0.502, 0.769, 0.000)
F (0.998, 0.248, 0.221)
F (0.002, 0.752, 0.221)
Na (0.000, 0.000, 0.500)
F (0.501, 0.742, 0.500)
F (0.998, 0.248, 0.779)
Ca (0.500, 0.500, 0.262)
In (0.000, 0.000, 0.000)
F (0.002, 0.752, 0.779)

Calculated values
* formation energy without anion corrections: -39.0 eV per formula unit